{"formula": "PrSbO4", "functional": "PBE-GGA", "state": "relaxed", "cell": [[5.1859, 0.0000, 0.0000], [0.0000, 5.4036, -0.0044], [0.0000, 4.9136, 12.9330]], "species": ["Pr", "Pr", "Pr", "Pr", "Sb", "Sb", "Sb", "Sb", "O", "O", "O", "O", "O", "O", "O", "O", "O", "O", "O", "O", "O", "O", "O", "O"], "fractional_positions": [[0.7769, 0.6593, 0.3345], [0.7231, 0.6593, 0.8345], [0.2231, 0.3407, 0.6655], [0.2769, 0.3407, 0.1655], [0.7510, 0.9248, 0.0694], [0.7490, 0.9248, 0.5694], [0.2490, 0.0752, 0.9306], [0.2510, 0.0752, 0.4306], [0.4344, 0.7508, 0.0360], [0.0656, 0.7508, 0.5360], [0.5656, 0.2492, 0.9640], [0.9344, 0.2492, 0.4640], [0.6055, 0.0146, 0.1835], [0.8945, 0.0146, 0.6835], [0.3945, 0.9854, 0.8165], [0.1055, 0.9854, 0.3165], [0.0691, 0.1512, 0.0505], [0.4309, 0.1512, 0.5505], [0.9309, 0.8488, 0.9495], [0.5691, 0.8488, 0.4495], [0.8838, 0.5963, 0.1731], [0.6162, 0.5963, 0.6731], [0.1162, 0.4037, 0.8269], [0.3838, 0.4037, 0.3269]], "sg": "P2_1/c", "e_form_raw_ev_per_fu": -13.941, "volume_a3_per_cell": 362.5, "total_magnetization_mub_per_cell": 0.00}